Entry 1:
5
Lattice="3.9488 0.0000 0.0000 0.0000 3.9488 0.0000 0.0000 0.0000 3.9488" Properties=species:S:1:pos:R:3 comment="PBE TaSeO3, relaxed" dos_at_fermi_per_ev_fu=2.76 e_form_raw_kj_per_mol_fu=143 pbc="T T T"
Ta 0.0000 0.0000 0.0000
Se 1.9744 1.9744 1.9744
O 0.0000 1.9744 1.9744
O 1.9744 0.0000 1.9744
O 1.9744 1.9744 0.0000

***

Entry 2:
11
Lattice="3.7733 2.1785 8.3234 -3.7733 2.1785 8.3234 0.0000 -4.3571 8.3234" Properties=species:S:1:pos:R:3 comment="PBE Cs2CaSi2Se6, relaxed" e_form_raw_kj_per_mol_fu=-964 pbc="T T T"
Cs 0.0000 0.0000 5.5143
Cs 0.0000 0.0000 19.4560
Ca 0.0000 0.0000 0.0000
Si 0.0000 0.0000 10.2258
Si 0.0000 0.0000 14.7445
Se 0.0000 -2.1890 10.3826
Se -1.8957 1.0945 10.3826
Se -1.8957 -1.0945 14.5877
Se 1.8957 1.0945 10.3826
Se 1.8957 -1.0945 14.5878
Se 0.0000 2.1890 14.5878

***

Entry 3:
14
Lattice="9.0192 0.0000 0.0000 0.0000 9.0192 0.0000 0.0000 0.0000 4.9595" Properties=species:S:1:pos:R:3 comment="PBE KNa4As2, relaxed" dft_energy_ev_per_atom=-2.543 dos_at_fermi_per_ev_fu=6.00 pbc="T T T"
K 0.0000 0.0000 0.0000
K 4.5096 4.5096 2.4797
Na 0.8081 2.9301 2.4797
Na 1.5795 5.3177 0.0000
Na 2.9301 0.8081 2.4797
Na 3.7015 7.4397 0.0000
Na 5.3177 1.5795 0.0000
Na 6.0891 8.2111 2.4797
Na 7.4397 3.7015 0.0000
Na 8.2111 6.0891 2.4797
As 2.0554 6.9638 2.4797
As 2.4542 2.4542 0.0000
As 6.5650 6.5650 0.0000
As 6.9638 2.0554 2.4797

***

> What is the formula in the first record?

TaSeO3

***

> Which formula does entry 3 have?

KNa4As2